LiCo2As after structural relaxation. Source: Alexandria, functional GGA-PBE.

Calculated values
Energy = -20.96 eV/f.u.
Size of the total moment = 2.3 μB/f.u.
Space-group type = Pm
DFT formation energy = -0.05 eV/atom

Cell: 4.0000 2.7418 4.7410 Å, 73.00 90.00 90.00°
Positions (direct):
Co 0.0000 0.7993 0.0195
Co 0.5000 0.2095 0.2031
As 0.5000 0.9418 0.7464
Li 0.0000 0.5494 0.5310